Entry 1:
{
  "formula": "Ni2AgPb",
  "functional": "SCAN",
  "state": "single point on PBEsol structure",
  "delta_e_f_ev_per_atom": 0.37,
  "de_polymorph_mev_per_atom": 91,
  "cell": [[-0.6268, -1.3359, -3.5152], [3.1282, -2.1630, 0.2642], [-3.5133, -1.3305, 3.1995]],
  "species": ["Ni", "Ni", "Pb", "Ag"],
  "fractional_positions": [[0.0000, 0.0000, 0.0000], [0.7500, 0.2500, 0.5000], [0.5000, 0.5000, 0.0000], [0.2500, 0.7500, 0.5000]]
}

=====

Entry 2:
{
  "formula": "Ni2AgPb",
  "functional": "SCAN",
  "state": "single point on PBEsol structure",
  "delta_e_f_ev_per_atom": 0.28,
  "de_polymorph_mev_per_atom": 0,
  "cell": [[4.4029, 0.0000, 0.0000], [-2.2015, 3.7623, 0.1359], [0.0000, 2.4440, 3.6623]],
  "species": ["Ag", "Ni", "Ni", "Pb"],
  "fractional_positions": [[0.5000, 0.0000, 0.5000], [0.2500, 0.5000, 0.2500], [0.7500, 0.5000, 0.7500], [0.0000, 0.0000, 0.0000]]
}

=====

Entry 3:
{
  "formula": "Ni2AgPb",
  "functional": "SCAN",
  "state": "single point on PBEsol structure",
  "delta_e_f_ev_per_atom": 0.37,
  "de_polymorph_mev_per_atom": 91,
  "cell": [[3.2540, 0.0000, 0.0000], [0.0000, 3.2540, 0.0000], [0.0000, 0.0000, 5.7077]],
  "species": ["Pb", "Ag", "Ni", "Ni"],
  "fractional_positions": [[0.5000, 0.5000, 0.0000], [0.5000, 0.5000, 0.5000], [0.0000, 0.0000, 0.7412], [0.0000, 0.0000, 0.2588]]
}

=====

Entry 4:
{
  "formula": "NiAgPbS2",
  "functional": "SCAN",
  "state": "single point on PBEsol structure",
  "raw_formation_energy_ev_per_fu": 4.73,
  "cell": [[-4.5413, 0.6371, -0.9286], [0.0710, -3.6884, -2.8778], [-1.3041, -3.2575, 4.1428]],
  "species": ["S", "S", "Ag", "Ni", "Pb"],
  "fractional_positions": [[0.5000, 0.0000, 0.0000], [0.0000, 0.5000, 0.0000], [0.0000, 0.0000, 0.0000], [0.5000, 0.5000, 0.5000], [0.0000, 0.0000, 0.5000]]
}

=====

Entry 5:
{
  "formula": "Si2NiAgPd",
  "functional": "SCAN",
  "state": "single point on PBEsol structure",
  "raw_formation_energy_ev_per_fu": 4.00,
  "cell": [[4.4638, 0.0000, 0.0000], [0.0000, 4.4638, 0.0000], [0.0000, 0.0000, 4.7139]],
  "species": ["Si", "Si", "Pd", "Ag", "Ni"],
  "fractional_positions": [[0.0000, 0.5000, 0.0000], [0.5000, 0.0000, 0.0000], [0.0000, 0.0000, 0.0000], [0.5000, 0.5000, 0.5000], [0.0000, 0.0000, 0.5000]]
}

=====

Entry 6:
{
  "formula": "Ni2AgPt",
  "functional": "SCAN",
  "state": "single point on PBEsol structure",
  "delta_e_f_ev_per_atom": 0.05,
  "cell": [[-1.5578, -1.0766, 1.8934], [2.7207, -3.5749, 0.2056], [1.6235, 2.9292, 3.0014]],
  "species": ["Ag", "Ni", "Ni", "Pt"],
  "fractional_positions": [[0.5000, 0.5000, 0.5000], [0.0000, 0.5000, 0.0000], [0.0000, 0.0000, 0.5000], [0.5000, 0.0000, 0.0000]]
}

=====

Entry 7:
{
  "formula": "NiAgPt3",
  "functional": "SCAN",
  "state": "single point on PBEsol structure",
  "delta_e_f_ev_per_atom": 2.01,
  "de_polymorph_mev_per_atom": 992,
  "cell": [[-3.8668, -2.2084, -1.6646], [1.6832, 0.3911, -4.4288], [2.1943, -4.1917, 0.4639]],
  "species": ["Ag", "Pt", "Pt", "Pt", "Ni"],
  "fractional_positions": [[0.0000, 0.0000, 0.0000], [0.0000, 0.5000, 0.0000], [0.0000, 0.0000, 0.5000], [0.5000, 0.0000, 0.0000], [0.5000, 0.5000, 0.5000]]
}

=====

Entry 8:
{
  "formula": "NiAgPt2",
  "functional": "SCAN",
  "state": "single point on PBEsol structure",
  "delta_e_f_ev_per_atom": 0.05,
  "cell": [[2.7253, 0.0000, 0.0000], [-1.3627, 4.5158, -0.0317], [0.0000, -0.8657, 4.6684]],
  "species": ["Ag", "Pt", "Pt", "Ni"],
  "fractional_positions": [[0.4954, 0.9908, 0.4922], [0.0059, 0.0117, 0.0045], [0.2542, 0.5084, 0.7602], [0.7446, 0.4891, 0.2431]]
}

=====

Entry 9:
{
  "formula": "NiAgPt2",
  "functional": "SCAN",
  "state": "single point on PBEsol structure",
  "delta_e_f_ev_per_atom": 0.03,
  "cell": [[2.7410, 0.0000, 0.0000], [0.0000, 2.7410, 0.0000], [0.0000, 0.0000, 7.5913]],
  "species": ["Pt", "Pt", "Ag", "Ni"],
  "fractional_positions": [[0.0000, 0.0000, 0.9798], [0.5000, 0.5000, 0.2427], [0.0000, 0.0000, 0.5168], [0.5000, 0.5000, 0.7607]]
}

=====

Entry 10:
{
  "formula": "NiAgPt2",
  "functional": "SCAN",
  "state": "single point on PBEsol structure",
  "delta_e_f_ev_per_atom": 0.06,
  "cell": [[-0.5301, 1.1360, -2.4197], [-4.5892, -1.0191, 0.5268], [0.9277, 4.2737, 1.8032]],
  "species": ["Pt", "Pt", "Ni", "Ag"],
  "fractional_positions": [[0.0000, 0.0000, 0.5000], [0.0000, 0.5000, 0.0000], [0.5000, 0.5000, 0.5000], [0.5000, 0.0000, 0.0000]]
}

=====

Entry 11:
{
  "formula": "NiAgPt2",
  "functional": "SCAN",
  "state": "single point on PBEsol structure",
  "delta_e_f_ev_per_atom": 0.06,
  "cell": [[2.7336, 0.0000, 0.0000], [0.0000, 4.6105, 0.0000], [0.0000, 0.0000, 4.6029]],
  "species": ["Ni", "Pt", "Pt", "Ag"],
  "fractional_positions": [[0.0000, 0.5000, 0.5000], [0.5000, 0.5000, 0.0000], [0.0000, 0.0000, 0.0000], [0.5000, 0.0000, 0.5000]]
}

=====

Entry 12:
{
  "formula": "NiAgPt2",
  "functional": "SCAN",
  "state": "single point on PBEsol structure",
  "delta_e_f_ev_per_atom": 0.09,
  "cell": [[-0.4680, 2.6866, -0.3601], [-2.4461, 0.0931, 3.8740], [5.2438, -0.4128, 0.6105]],
  "species": ["Ni", "Pt", "Pt", "Ag"],
  "fractional_positions": [[0.2576, 0.7576, 0.5153], [0.7434, 0.2434, 0.4868], [0.9861, 0.9861, 0.9722], [0.5129, 0.5129, 0.0257]]
}

=====

Entry 13:
{
  "formula": "NiAgPt2",
  "functional": "SCAN",
  "state": "single point on PBEsol structure",
  "delta_e_f_ev_per_atom": 0.18,
  "cell": [[-0.2739, -0.4133, 4.3098], [-2.4448, -3.1402, 1.7269], [1.8799, -3.3716, 1.9796]],
  "species": ["Ni", "Pt", "Pt", "Ag"],
  "fractional_positions": [[0.2500, 0.2500, 0.2500], [0.0000, 0.0000, 0.0000], [0.7500, 0.7500, 0.7500], [0.5000, 0.5000, 0.5000]]
}

=====

Entry 14:
{
  "formula": "NiAgPt2",
  "functional": "SCAN",
  "state": "single point on PBEsol structure",
  "delta_e_f_ev_per_atom": -0.02,
  "cell": [[2.7248, 0.0000, 0.0000], [1.3624, 2.3598, 0.0000], [1.3624, 0.7866, 8.9151]],
  "species": ["Ni", "Pt", "Pt", "Ag"],
  "fractional_positions": [[0.2520, 0.2520, 0.2439], [0.9941, 0.9941, 0.0176], [0.7490, 0.7490, 0.7530], [0.5048, 0.5048, 0.4855]]
}

=====

Entry 15:
{
  "formula": "NiAgPt2",
  "functional": "SCAN",
  "state": "single point on PBEsol structure",
  "delta_e_f_ev_per_atom": -0.12,
  "cell": [[-2.0485, 1.2305, -1.3121], [-0.2923, -0.3348, -2.6898], [-5.9613, -6.7860, 0.1109]],
  "species": ["Ag", "Pt", "Pt", "Ni"],
  "fractional_positions": [[0.5000, 0.5000, 0.5000], [0.7435, 0.7435, 0.7695], [0.2565, 0.2565, 0.2305], [0.0000, 0.0000, 0.0000]]
}

=====

Entry 16:
{
  "formula": "Ni2AgPt",
  "functional": "SCAN",
  "state": "single point on PBEsol structure",
  "delta_e_f_ev_per_atom": 0.06,
  "cell": [[-0.9254, 2.4937, 0.3316], [-0.8613, 1.4024, -2.1158], [-8.4554, -1.7729, 0.5690]],
  "species": ["Pt", "Ni", "Ni", "Ag"],
  "fractional_positions": [[0.5000, 0.5000, 0.5000], [0.7520, 0.7520, 0.7440], [0.2480, 0.2480, 0.2560], [0.0000, 0.0000, 0.0000]]
}

=====

Entry 17:
{
  "formula": "NiAgPt2",
  "functional": "SCAN",
  "state": "single point on PBEsol structure",
  "delta_e_f_ev_per_atom": 0.03,
  "cell": [[3.8548, 0.0000, 0.0000], [0.0000, 3.8548, 0.0000], [-1.9274, -1.9274, 3.8496]],
  "species": ["Pt", "Pt", "Ni", "Ag"],
  "fractional_positions": [[0.7500, 0.2500, 0.5000], [0.2500, 0.7500, 0.5000], [0.0000, 0.0000, 0.0000], [0.5000, 0.5000, 0.0000]]
}

=====

Entry 18:
{
  "formula": "Ni2AgPt",
  "functional": "SCAN",
  "state": "single point on PBEsol structure",
  "delta_e_f_ev_per_atom": 0.08,
  "cell": [[2.7197, 0.0000, 0.0000], [0.0000, 4.3676, 0.0000], [-1.3598, -2.1838, 4.4132]],
  "species": ["Pt", "Ag", "Ni", "Ni"],
  "fractional_positions": [[0.4842, 0.4842, 0.9683], [0.2604, 0.7604, 0.5208], [0.7383, 0.2383, 0.4766], [0.0171, 0.0171, 0.0343]]
}

=====

Entry 19:
{
  "formula": "NiAgPt3",
  "functional": "SCAN",
  "state": "single point on PBEsol structure",
  "delta_e_f_ev_per_atom": 1.02,
  "de_polymorph_mev_per_atom": 0,
  "cell": [[-3.0713, 3.1203, -0.9740], [-2.3804, -3.0509, -2.2678], [-2.2402, -1.0359, 3.7451]],
  "species": ["Pt", "Pt", "Pt", "Ag", "Ni"],
  "fractional_positions": [[0.5000, 0.0000, 0.0000], [0.0000, 0.5000, 0.0000], [0.0000, 0.0000, 0.5000], [0.5000, 0.5000, 0.5000], [0.0000, 0.0000, 0.0000]]
}

=====

Entry 20:
{
  "formula": "Ni2AgPt",
  "functional": "SCAN",
  "state": "single point on PBEsol structure",
  "delta_e_f_ev_per_atom": 0.06,
  "cell": [[-0.4594, 2.5810, 0.5913], [-3.3710, -0.3295, -1.1808], [-1.6176, -1.4378, 5.0193]],
  "species": ["Pt", "Ni", "Ni", "Ag"],
  "fractional_positions": [[0.5000, 0.5000, 0.0000], [0.0000, 0.0000, 0.2325], [0.0000, 0.0000, 0.7675], [0.5000, 0.5000, 0.5000]]
}